# 1
Compound: HoCdGa
Source: Alexandria
Functional: PBE-GGA
Structure: optimized geometry

The structure in CIF format:
```
data_HoCdGa
_symmetry_space_group_name_H-M 'F -4 3 m'
_symmetry_Int_Tables_number 216
_symmetry_space_group_name_Hall 'F -4 2 3'
_cell_length_a 6.638
_cell_length_b 6.638
_cell_length_c 6.638
_cell_angle_alpha 90.00
_cell_angle_beta 90.00
_cell_angle_gamma 90.00
loop_
_atom_site_label
_atom_site_type_symbol
_atom_site_fract_x
_atom_site_fract_y
_atom_site_fract_z
Ho1 Ho 0.000 0.000 0.000
Cd1 Cd 0.000 0.000 0.500
Ga1 Ga 0.250 0.250 0.250
```

# 2
Compound: Ho3Cd2Ga4
Source: Alexandria
Functional: PBE-GGA
Structure: optimized geometry

The structure in CIF format:
```
data_Ho3Cd2Ga4
_symmetry_space_group_name_H-M 'C 1 2/m 1'
_symmetry_Int_Tables_number 12
_symmetry_space_group_name_Hall '-C 2y'
_cell_length_a 10.716
_cell_length_b 4.536
_cell_length_c 8.706
_cell_angle_alpha 90.00
_cell_angle_beta 111.94
_cell_angle_gamma 90.00
loop_
_atom_site_label
_atom_site_type_symbol
_atom_site_fract_x
_atom_site_fract_y
_atom_site_fract_z
Ho1 Ho 0.000 0.000 0.000
Ho2 Ho 0.170 0.500 0.667
Cd1 Cd 0.103 0.500 0.271
Ga1 Ga 0.073 0.000 0.415
Ga2 Ga 0.202 0.500 0.027
```

# 3
Compound: HoCd11Ga
Source: Alexandria
Functional: PBE-GGA
Structure: optimized geometry

The structure in CIF format:
```
data_HoCd11Ga
_symmetry_space_group_name_H-M 'C 1 2/m 1'
_symmetry_Int_Tables_number 12
_symmetry_space_group_name_Hall '-C 2y'
_cell_length_a 5.889
_cell_length_b 14.114
_cell_length_c 7.579
_cell_angle_alpha 90.00
_cell_angle_beta 112.27
_cell_angle_gamma 90.00
loop_
_atom_site_label
_atom_site_type_symbol
_atom_site_fract_x
_atom_site_fract_y
_atom_site_fract_z
Ho1 Ho 0.000 0.000 0.000
Cd1 Cd 0.000 0.000 0.500
Cd2 Cd 0.105 0.395 0.212
Cd3 Cd 0.180 0.174 0.353
Cd4 Cd 0.250 0.250 0.000
Ga1 Ga 0.000 0.500 0.500
```

# 4
Compound: Ho3CdGa
Source: Alexandria
Functional: PBE-GGA
Structure: optimized geometry

The structure in CIF format:
```
data_Ho3CdGa
_symmetry_space_group_name_H-M 'C m c m'
_symmetry_Int_Tables_number 63
_symmetry_space_group_name_Hall '-C 2c 2'
_cell_length_a 5.074
_cell_length_b 20.152
_cell_length_c 5.070
_cell_angle_alpha 90.00
_cell_angle_beta 90.00
_cell_angle_gamma 90.00
loop_
_atom_site_label
_atom_site_type_symbol
_atom_site_fract_x
_atom_site_fract_y
_atom_site_fract_z
Ho1 Ho 0.000 0.063 0.250
Ho2 Ho 0.000 0.250 0.250
Ho3 Ho 0.000 0.436 0.250
Cd1 Cd 0.000 0.157 0.750
Ga1 Ga 0.000 0.341 0.750
```

# 5
Compound: Ho7Cd2Ga2
Source: Alexandria
Functional: PBE-GGA
Structure: optimized geometry

The structure in CIF format:
```
data_Ho7Cd2Ga2
_symmetry_space_group_name_H-M 'C m m m'
_symmetry_Int_Tables_number 65
_symmetry_space_group_name_Hall '-C 2 2'
_cell_length_a 7.388
_cell_length_b 10.645
_cell_length_c 8.011
_cell_angle_alpha 90.00
_cell_angle_beta 90.00
_cell_angle_gamma 90.00
loop_
_atom_site_label
_atom_site_type_symbol
_atom_site_fract_x
_atom_site_fract_y
_atom_site_fract_z
Ho1 Ho 0.000 0.000 0.000
Ho2 Ho 0.000 0.500 0.281
Ho3 Ho 0.250 0.250 0.297
Cd1 Cd 0.000 0.301 0.000
Ga1 Ga 0.171 0.000 0.500
```

# 6
Compound: Ho2Cd2Ga
Source: Alexandria
Functional: PBE-GGA
Structure: optimized geometry

The structure in CIF format:
```
data_Ho2Cd2Ga
_symmetry_space_group_name_H-M 'C m m m'
_symmetry_Int_Tables_number 65
_symmetry_space_group_name_Hall '-C 2 2'
_cell_length_a 4.656
_cell_length_b 15.045
_cell_length_c 3.369
_cell_angle_alpha 90.00
_cell_angle_beta 90.00
_cell_angle_gamma 90.00
loop_
_atom_site_label
_atom_site_type_symbol
_atom_site_fract_x
_atom_site_fract_y
_atom_site_fract_z
Ho1 Ho 0.000 0.107 0.000
Cd1 Cd 0.000 0.302 0.500
Ga1 Ga 0.000 0.500 0.500
```

# 7
Compound: HoCdGa
Source: Alexandria
Functional: PBE-GGA
Structure: optimized geometry

The structure in CIF format:
```
data_HoCdGa
_symmetry_space_group_name_H-M 'I 4 m m'
_symmetry_Int_Tables_number 107
_symmetry_space_group_name_Hall 'I 4 -2'
_cell_length_a 3.364
_cell_length_b 3.364
_cell_length_c 11.939
_cell_angle_alpha 90.00
_cell_angle_beta 90.00
_cell_angle_gamma 90.00
loop_
_atom_site_label
_atom_site_type_symbol
_atom_site_fract_x
_atom_site_fract_y
_atom_site_fract_z
Ho1 Ho 0.000 0.000 0.000
Cd1 Cd 0.000 0.000 0.690
Ga1 Ga 0.000 0.000 0.341
```

# 8
Compound: Ho4CdIn2Ga
Source: Alexandria
Functional: PBE-GGA
Structure: optimized geometry

The structure in CIF format:
```
data_Ho4CdIn2Ga
_symmetry_space_group_name_H-M 'R -3 m'
_symmetry_Int_Tables_number 166
_symmetry_space_group_name_Hall '-R 3 2"'
_cell_length_a 5.2319
_cell_length_b 5.2319
_cell_length_c 25.5013
_cell_angle_alpha 90.00
_cell_angle_beta 90.00
_cell_angle_gamma 120.00
loop_
_atom_site_label
_atom_site_type_symbol
_atom_site_fract_x
_atom_site_fract_y
_atom_site_fract_z
Ho1 Ho 0.0000 0.0000 0.1205
Ho2 Ho 0.0000 0.0000 0.3714
Cd1 Cd 0.0000 0.0000 0.5000
In1 In 0.0000 0.0000 0.2454
Ga1 Ga 0.0000 0.0000 0.0000
```

# 9
Compound: HoCd2InGa
Source: Alexandria
Functional: PBE-GGA
Structure: optimized geometry

The structure in CIF format:
```
data_HoCd2InGa
_symmetry_space_group_name_H-M 'C m c m'
_symmetry_Int_Tables_number 63
_symmetry_space_group_name_Hall '-C 2c 2'
_cell_length_a 3.482
_cell_length_b 18.035
_cell_length_c 8.035
_cell_angle_alpha 90.00
_cell_angle_beta 90.00
_cell_angle_gamma 90.00
loop_
_atom_site_label
_atom_site_type_symbol
_atom_site_fract_x
_atom_site_fract_y
_atom_site_fract_z
Ho1 Ho 0.000 0.102 0.250
Cd1 Cd 0.000 0.334 0.061
In1 In 0.000 0.500 0.000
Ga1 Ga 0.000 0.256 0.750
```

# 10
Compound: LaHoCdGa
Source: Alexandria
Functional: PBE-GGA
Structure: optimized geometry

The structure in CIF format:
```
data_LaHoCdGa
_symmetry_space_group_name_H-M 'P 4 m m'
_symmetry_Int_Tables_number 99
_symmetry_space_group_name_Hall 'P 4 -2'
_cell_length_a 3.673
_cell_length_b 3.673
_cell_length_c 7.774
_cell_angle_alpha 90.00
_cell_angle_beta 90.00
_cell_angle_gamma 90.00
loop_
_atom_site_label
_atom_site_type_symbol
_atom_site_fract_x
_atom_site_fract_y
_atom_site_fract_z
La1 La 0.000 0.000 0.000
Ho1 Ho 0.000 0.000 0.463
Cd1 Cd 0.500 0.500 0.705
Ga1 Ga 0.500 0.500 0.251
```

# 11
Compound: LaHoCdGa
Source: Alexandria
Functional: PBE-GGA
Structure: optimized geometry

The structure in CIF format:
```
data_LaHoCdGa
_symmetry_space_group_name_H-M 'F -4 3 m'
_symmetry_Int_Tables_number 216
_symmetry_space_group_name_Hall 'F -4 2 3'
_cell_length_a 7.520
_cell_length_b 7.520
_cell_length_c 7.520
_cell_angle_alpha 90.00
_cell_angle_beta 90.00
_cell_angle_gamma 90.00
loop_
_atom_site_label
_atom_site_type_symbol
_atom_site_fract_x
_atom_site_fract_y
_atom_site_fract_z
La1 La 0.000 0.000 0.000
Ho1 Ho 0.000 0.000 0.500
Cd1 Cd 0.250 0.250 0.750
Ga1 Ga 0.250 0.250 0.250
```

# 12
Compound: HoLuCdGa
Source: Alexandria
Functional: PBE-GGA
Structure: optimized geometry

The structure in CIF format:
```
data_HoLuCdGa
_symmetry_space_group_name_H-M 'F -4 3 m'
_symmetry_Int_Tables_number 216
_symmetry_space_group_name_Hall 'F -4 2 3'
_cell_length_a 7.231
_cell_length_b 7.231
_cell_length_c 7.231
_cell_angle_alpha 90.00
_cell_angle_beta 90.00
_cell_angle_gamma 90.00
loop_
_atom_site_label
_atom_site_type_symbol
_atom_site_fract_x
_atom_site_fract_y
_atom_site_fract_z
Ho1 Ho 0.000 0.000 0.000
Lu1 Lu 0.000 0.000 0.500
Cd1 Cd 0.250 0.250 0.250
Ga1 Ga 0.250 0.250 0.750
```

Looking at E for the records above, in order, we have -38.729 -64.315 -36.563 -77.476 -80.138 -31.180 -18.696 -94.015 -51.855 -15.282 -60.671 -58.927 eV per cell.
Looking at density of states at the Fermi level for the records above, in order, we have 0.76 3.69 3.44 5.26 12.82 4.72 1.73 5.62 1.51 2.49 4.21 3.61 states/eV/f.u..